Entry a
DFT (GGA-PBE) results for crystalline Tl2SnCl at its relaxed geometry.

## Properties
The spin magnetization is 0.00 μB per formula unit.

Cell: 5.811 5.811 3.414 Å, 90.00 90.00 90.00°
Element x y z (fractional)
Tl  0.000  0.500  0.000
Tl  0.500  0.000  0.000
Sn  0.000  0.000  0.500
Cl  0.500  0.500  0.500

Entry b
DFT (GGA-PBE) results for crystalline Tl2SnCl at its relaxed geometry.

## Properties
The spin magnetization is 0.00 μB per formula unit.

Cell: 5.434 5.434 5.434 Å, 60.00 60.00 60.00°
Element x y z (fractional)
Tl  0.250  0.250  0.250
Tl  0.750  0.750  0.750
Sn  0.000  0.000  0.000
Cl  0.500  0.500  0.500

Entry c
DFT (GGA-PBE) results for crystalline Tl2SnCl at its relaxed geometry.

## Properties
The spin magnetization is 0.00 μB per formula unit.

Cell: 9.103 9.103 9.103 Å, 137.99 137.99 60.92°
Element x y z (fractional)
Tl  0.117  0.625  0.992
Tl  0.375  0.367  0.492
Tl  0.633  0.125  0.008
Tl  0.875  0.883  0.508
Sn  0.000  0.000  0.000
Sn  0.750  0.250  0.500
Cl  0.250  0.750  0.500
Cl  0.500  0.500  0.000

Out of the structures above, which one is the most stable? Solution: entry a.